Record 1
The following is a GGA-PBE calculation of an optimized crystal structure of MgVIrRh, from Alexandria.

a b c (Å): 6.1267 6.1267 6.1267
angles (deg): 90.00 90.00 90.00
With the nearest neighbours (Å) after each atom.
Space group F-43m (No. 216)
Unique sites:
Mg  0.0000  0.0000  0.0000  4 Rh 2.65, 4 Ir 2.65
V  0.0000  0.0000  0.5000  4 Ir 2.65, 4 Rh 2.65
Ir  0.2500  0.2500  0.7500  4 Mg 2.65, 4 V 2.65
Rh  0.2500  0.2500  0.2500  4 Mg 2.65, 4 V 2.65

Output
DFT total energy in eV/cell: -114.49
Formation energy from the elements in eV per atom: -0.42
Polymorph energy (0 for the lowest one) in meV/atom: 60


Record 2
The following is a GGA-PBE calculation of an optimized crystal structure of LiGdBr2, from Alexandria.

a b c (Å): 3.9286 3.9286 26.0345
angles (deg): 90.00 90.00 120.00
With the nearest neighbours (Å) after each atom.
Space group R-3m (No. 166, hexagonal axes)
Unique sites:
Li  0.0000  0.0000  0.0000  6 Br 2.73
Gd  0.0000  0.0000  0.5000  2 Br 2.82
Br  0.0000  0.0000  0.3916  3 Li 2.73, 1 Gd 2.82

Output
DFT total energy in eV/cell: -72.47
ΔE_f (raw) in eV/f.u.: -4.8


Record 3
The following is a GGA-PBE calculation of an optimized crystal structure of Tl4Rh, from Alexandria.

a b c (Å): 5.3293 5.3293 15.7188
angles (deg): 90.00 90.00 120.00
With the nearest neighbours (Å) after each atom.
Space group R-3m (No. 166, hexagonal axes)
Unique sites:
Tl  0.0000  0.0000  0.1226  3 Rh 3.15, 4 Tl 3.17-3.37
Tl  0.0000  0.0000  0.3244  1 Rh 2.76, 3 Tl 3.09
Rh  0.0000  0.0000  0.5000  2 Tl 2.76

Output
DFT total energy in eV/cell: -47.38
Formation energy from the elements in eV per atom: 0.20
Polymorph energy (0 for the lowest one) in meV/atom: 160


Record 4
The following is a GGA-PBE calculation of an optimized crystal structure of AcPr7Nd5, from Alexandria.

a b c (Å): 6.8769 11.6384 12.1057
angles (deg): 90.00 90.00 90.00
With the nearest neighbours (Å) after each atom.
Space group Imm2 (No. 44)
Unique sites:
Ac  0.0000  0.0000  0.0000  7 Pr 3.92-4.05, 4 Nd 4.01
Pr  0.0000  0.0000  0.3251  3 Pr 3.47-3.53, 4 Nd 3.62
Pr  0.0000  0.0000  0.6117  3 Pr 3.47-3.83, 4 Nd 3.87
Pr  0.0000  0.3199  0.5357  2 Pr 3.43-3.83, 5 Nd 3.48-3.83
Pr  0.0000  0.3352  0.0347  5 Nd 3.44-3.74, 2 Pr 3.84
Pr  0.0000  0.5000  0.7597  4 Pr 3.43-3.53, 4 Nd 3.53
Nd  0.0000  0.5000  0.2708  4 Nd 3.29, 2 Pr 3.44
Nd  0.2348  0.2334  0.7964  2 Nd 3.23-3.29, 4 Pr 3.48-3.62

Output
DFT total energy in eV/cell: -117.80
Formation energy from the elements in eV per atom: 0.19


Record 5
The following is a GGA-PBE calculation of an optimized crystal structure of Ba2CrBr, from Alexandria.

a b c (Å): 7.9313 4.5857 9.3807
angles (deg): 90.00 106.46 90.00
With the nearest neighbours (Å) after each atom.
Space group C2/m (No. 12)
Unique sites:
Ba  0.2467  0.0000  0.2392  3 Cr 3.41, 3 Br 3.53-3.54
Cr  0.0000  0.5000  0.0000  6 Ba 3.41
Br  0.0000  0.0000  0.5000  6 Ba 3.53-3.54

Output
DFT total energy in eV/cell: -32.78
Polymorph energy (0 for the lowest one) in meV/atom: 0
ΔE_f (raw) in eV/f.u.: -1.2


Record 6
The following is a GGA-PBE calculation of an optimized crystal structure of ReP2Pb, from Alexandria.

a b c (Å): 3.1381 5.1970 9.0476
angles (deg): 90.00 90.00 90.00
With the nearest neighbours (Å) after each atom.
Space group Cmm2 (No. 35)
Unique sites:
Re  0.0000  0.0000  0.0000  2 P 2.33
P  0.0000  0.0000  0.3880  2 P 2.38
P  0.0000  0.5000  0.1906  2 Re 2.33, 2 P 2.38
Pb  0.0000  0.5000  0.7003  6 Pb 3.04-3.14, 2 Re 3.13, 2 P 3.23

Output
DFT total energy in eV/cell: -48.02
Formation energy from the elements in eV per atom: 0.74